# HPd2S

An optimized crystal structure of HPd2S (PBE, Alexandria via LeMat-Bulk).

Output
final energy	-4.53	eV/atom
crystal system	tetragonal

CIF file:
```
data_HPd2S
_chemical_formula_sum 'H4 Pd8 S4'
_symmetry_space_group_name_H-M 'I -4 2 d'
_symmetry_Int_Tables_number 122
_symmetry_space_group_name_Hall 'I -4 2bw'
_cell_length_a 4.8139
_cell_length_b 4.8139
_cell_length_c 9.5657
_cell_angle_alpha 90.00
_cell_angle_beta 90.00
_cell_angle_gamma 90.00
loop_
_atom_site_label
_atom_site_type_symbol
_atom_site_fract_x
_atom_site_fract_y
_atom_site_fract_z
H1 H 0.0000 0.0000 0.0000
Pd1 Pd 0.1646 0.2500 0.1250
S1 S 0.0000 0.0000 0.5000
```

# Ce6PuTl2Co

An optimized crystal structure of Ce6PuTl2Co (PBE, Alexandria via LeMat-Bulk).

Output
final energy	-6.48	eV/atom
energy relative to the elements	-0.306	eV/atom
crystal system	orthorhombic

CIF file:
```
data_Ce6PuTl2Co
_chemical_formula_sum 'Ce24 Pu4 Tl8 Co4'
_symmetry_space_group_name_H-M 'F m m m'
_symmetry_Int_Tables_number 69
_symmetry_space_group_name_Hall '-F 2 2'
_cell_length_a 10.2335
_cell_length_b 10.2429
_cell_length_c 10.2745
_cell_angle_alpha 90.00
_cell_angle_beta 90.00
_cell_angle_gamma 90.00
loop_
_atom_site_label
_atom_site_type_symbol
_atom_site_fract_x
_atom_site_fract_y
_atom_site_fract_z
Ce1 Ce 0.0000 0.0000 0.2399
Ce2 Ce 0.0000 0.2407 0.0000
Ce3 Ce 0.2409 0.0000 0.0000
Pu1 Pu 0.0000 0.0000 0.0000
Tl1 Tl 0.2500 0.2500 0.2500
Co1 Co 0.0000 0.0000 0.5000
```

# BaTaPb2

An optimized crystal structure of BaTaPb2 (PBE, Alexandria via LeMat-Bulk).

Output
final energy	-4.82	eV/atom
energy relative to the elements	0.477	eV/atom
crystal system	orthorhombic

CIF file:
```
data_BaTaPb2
_chemical_formula_sum 'Ba2 Ta2 Pb4'
_symmetry_space_group_name_H-M 'I m m m'
_symmetry_Int_Tables_number 71
_symmetry_space_group_name_Hall '-I 2 2'
_cell_length_a 3.9888
_cell_length_b 6.3141
_cell_length_c 10.0751
_cell_angle_alpha 90.00
_cell_angle_beta 90.00
_cell_angle_gamma 90.00
loop_
_atom_site_label
_atom_site_type_symbol
_atom_site_fract_x
_atom_site_fract_y
_atom_site_fract_z
Ba1 Ba 0.0000 0.0000 0.0000
Ta1 Ta 0.0000 0.0000 0.5000
Pb1 Pb 0.0000 0.5000 0.2113
```

# TlMo4Br

An optimized crystal structure of TlMo4Br (PBE, Alexandria via LeMat-Bulk).

Output
final energy	-6.98	eV/atom
crystal system	cubic
raw formation energy	0.91	eV per atom

CIF file:
```
data_TlMo4Br
_chemical_formula_sum 'Tl4 Mo16 Br4'
_symmetry_space_group_name_H-M 'F -4 3 m'
_symmetry_Int_Tables_number 216
_symmetry_space_group_name_Hall 'F -4 2 3'
_cell_length_a 7.6574
_cell_length_b 7.6574
_cell_length_c 7.6574
_cell_angle_alpha 90.00
_cell_angle_beta 90.00
_cell_angle_gamma 90.00
loop_
_atom_site_label
_atom_site_type_symbol
_atom_site_fract_x
_atom_site_fract_y
_atom_site_fract_z
Tl1 Tl 0.0000 0.0000 0.0000
Mo1 Mo 0.1206 0.1206 0.3794
Br1 Br 0.2500 0.2500 0.7500
```

# Tc2NiCl

An optimized crystal structure of Tc2NiCl (PBE, Alexandria via LeMat-Bulk).

Output
final energy	-6.62	eV/atom
crystal system	tetragonal
raw formation energy	0.47	eV per atom

CIF file:
```
data_Tc2NiCl
_chemical_formula_sum 'Tc2 Ni1 Cl1'
_symmetry_space_group_name_H-M 'P 4/m m m'
_symmetry_Int_Tables_number 123
_symmetry_space_group_name_Hall '-P 4 2'
_cell_length_a 2.9993
_cell_length_b 2.9993
_cell_length_c 6.3722
_cell_angle_alpha 90.00
_cell_angle_beta 90.00
_cell_angle_gamma 90.00
loop_
_atom_site_label
_atom_site_type_symbol
_atom_site_fract_x
_atom_site_fract_y
_atom_site_fract_z
Tc1 Tc 0.0000 0.0000 0.2067
Ni1 Ni 0.5000 0.5000 0.0000
Cl1 Cl 0.5000 0.5000 0.5000
```

# BeV2Co

An optimized crystal structure of BeV2Co (PBE, Alexandria via LeMat-Bulk).

Output
final energy	-7.37	eV/atom
energy relative to the elements	-0.103	eV/atom
crystal system	tetragonal

CIF file:
```
data_BeV2Co
_chemical_formula_sum 'Be1 V2 Co1'
_symmetry_space_group_name_H-M 'P 4/m m m'
_symmetry_Int_Tables_number 123
_symmetry_space_group_name_Hall '-P 4 2'
_cell_length_a 3.5234
_cell_length_b 3.5234
_cell_length_c 3.6241
_cell_angle_alpha 90.00
_cell_angle_beta 90.00
_cell_angle_gamma 90.00
loop_
_atom_site_label
_atom_site_type_symbol
_atom_site_fract_x
_atom_site_fract_y
_atom_site_fract_z
Be1 Be 0.0000 0.0000 0.0000
V1 V 0.0000 0.5000 0.5000
Co1 Co 0.5000 0.5000 0.0000
```

# Ba2MnTe

An optimized crystal structure of Ba2MnTe (PBE, Alexandria via LeMat-Bulk).

Output
final energy	-4.39	eV/atom
crystal system	trigonal
raw formation energy	-0.35	eV per atom

CIF file:
```
data_Ba2MnTe
_chemical_formula_sum 'Ba6 Mn3 Te3'
_symmetry_space_group_name_H-M 'R -3 m'
_symmetry_Int_Tables_number 166
_symmetry_space_group_name_Hall '-R 3 2"'
_cell_length_a 4.7599
_cell_length_b 4.7599
_cell_length_c 26.1233
_cell_angle_alpha 90.00
_cell_angle_beta 90.00
_cell_angle_gamma 120.00
loop_
_atom_site_label
_atom_site_type_symbol
_atom_site_fract_x
_atom_site_fract_y
_atom_site_fract_z
Ba1 Ba 0.0000 0.0000 0.2477
Mn1 Mn 0.0000 0.0000 0.0000
Te1 Te 0.0000 0.0000 0.5000
```

# Nd3Sm2ScTe6

An optimized crystal structure of Nd3Sm2ScTe6 (PBE, Alexandria via LeMat-Bulk).

Output
final energy	-5.43	eV/atom
crystal system	monoclinic
raw formation energy	-1.35	eV per atom

CIF file:
```
data_Nd3Sm2ScTe6
_chemical_formula_sum 'Nd6 Sm4 Sc2 Te12'
_symmetry_space_group_name_H-M 'C 1 2/m 1'
_symmetry_Int_Tables_number 12
_cell_length_a 19.3265
_cell_length_b 4.4012
_cell_length_c 8.9088
_cell_angle_alpha 90.00
_cell_angle_beta 103.39
_cell_angle_gamma 90.00
loop_
_symmetry_equiv_pos_as_xyz
'x,y,z'
'-x,-y,-z'
'-x,y,-z'
'x,-y,z'
'x+1/2,y+1/2,z'
'-x+1/2,-y+1/2,-z'
'-x+1/2,y+1/2,-z'
'x+1/2,-y+1/2,z'
loop_
_atom_site_label
_atom_site_type_symbol
_atom_site_fract_x
_atom_site_fract_y
_atom_site_fract_z
Nd1 Nd 0.0000 0.0000 0.0000
Nd2 Nd 0.1739 0.5000 0.3376
Sm1 Sm 0.1684 0.5000 0.8346
Sc1 Sc 0.0000 0.0000 0.5000
Te1 Te 0.0014 0.5000 0.2679
Te2 Te 0.1566 0.0000 0.5812
Te3 Te 0.1665 0.0000 0.0812
```

# PaCrN2

An optimized crystal structure of PaCrN2 (PBE, Alexandria via LeMat-Bulk).

Output
final energy	-9.83	eV/atom
crystal system	trigonal
raw formation energy	-0.88	eV per atom

CIF file:
```
data_PaCrN2
_chemical_formula_sum 'Pa3 Cr3 N6'
_symmetry_space_group_name_H-M 'R -3 m'
_symmetry_Int_Tables_number 166
_symmetry_space_group_name_Hall '-R 3 2"'
_cell_length_a 3.6492
_cell_length_b 3.6492
_cell_length_c 17.3542
_cell_angle_alpha 90.00
_cell_angle_beta 90.00
_cell_angle_gamma 120.00
loop_
_atom_site_label
_atom_site_type_symbol
_atom_site_fract_x
_atom_site_fract_y
_atom_site_fract_z
Pa1 Pa 0.0000 0.0000 0.0000
Cr1 Cr 0.0000 0.0000 0.5000
N1 N 0.0000 0.0000 0.3881
```

# Cu3AsO

An optimized crystal structure of Cu3AsO (PBE, Alexandria via LeMat-Bulk).

Output
final energy	-4.34	eV/atom
crystal system	cubic
raw formation energy	0.04	eV per atom

CIF file:
```
data_Cu3AsO
_chemical_formula_sum 'Cu3 As1 O1'
_symmetry_space_group_name_H-M 'P m -3 m'
_symmetry_Int_Tables_number 221
_symmetry_space_group_name_Hall '-P 4 2 3'
_cell_length_a 4.0360
_cell_length_b 4.0360
_cell_length_c 4.0360
_cell_angle_alpha 90.00
_cell_angle_beta 90.00
_cell_angle_gamma 90.00
loop_
_atom_site_label
_atom_site_type_symbol
_atom_site_fract_x
_atom_site_fract_y
_atom_site_fract_z
Cu1 Cu 0.0000 0.0000 0.5000
As1 As 0.5000 0.5000 0.5000
O1 O 0.0000 0.0000 0.0000
```

# RbAl2Pb2

An optimized crystal structure of RbAl2Pb2 (PBE, Alexandria via LeMat-Bulk).

Output
final energy	-3.20	eV/atom
energy relative to the elements	-0.022	eV/atom
crystal system	tetragonal

CIF file:
```
data_RbAl2Pb2
_chemical_formula_sum 'Rb2 Al4 Pb4'
_symmetry_space_group_name_H-M 'I 4/m m m'
_symmetry_Int_Tables_number 139
_symmetry_space_group_name_Hall '-I 4 2'
_cell_length_a 4.2189
_cell_length_b 4.2189
_cell_length_c 17.8933
_cell_angle_alpha 90.00
_cell_angle_beta 90.00
_cell_angle_gamma 90.00
loop_
_atom_site_label
_atom_site_type_symbol
_atom_site_fract_x
_atom_site_fract_y
_atom_site_fract_z
Rb1 Rb 0.0000 0.0000 0.0000
Al1 Al 0.0000 0.5000 0.2500
Pb1 Pb 0.0000 0.0000 0.3618
```

# Tb5Y2Sc5

An optimized crystal structure of Tb5Y2Sc5 (PBE, Alexandria via LeMat-Bulk).

Output
final energy	-5.59	eV/atom
energy relative to the elements	0.053	eV/atom
crystal system	monoclinic

CIF file:
```
data_Tb5Y2Sc5
_chemical_formula_sum 'Tb10 Y4 Sc10'
_symmetry_space_group_name_H-M 'C 1 2/m 1'
_symmetry_Int_Tables_number 12
_cell_length_a 14.5455
_cell_length_b 4.8554
_cell_length_c 10.9029
_cell_angle_alpha 90.00
_cell_angle_beta 116.48
_cell_angle_gamma 90.00
loop_
_symmetry_equiv_pos_as_xyz
'x,y,z'
'-x,-y,-z'
'-x,y,-z'
'x,-y,z'
'x+1/2,y+1/2,z'
'-x+1/2,-y+1/2,-z'
'-x+1/2,y+1/2,-z'
'x+1/2,-y+1/2,z'
loop_
_atom_site_label
_atom_site_type_symbol
_atom_site_fract_x
_atom_site_fract_y
_atom_site_fract_z
Tb1 Tb 0.0000 0.0000 0.0000
Tb2 Tb 0.0884 0.0000 0.7520
Tb3 Tb 0.1643 0.0000 0.4995
Y1 Y 0.0833 0.5000 0.2454
Sc1 Sc 0.0000 0.5000 0.5000
Sc2 Sc 0.1716 0.5000 0.0017
Sc3 Sc 0.2494 0.5000 0.7540
```

Repeat the fifth record exactly.
# Tc2NiCl

An optimized crystal structure of Tc2NiCl (PBE, Alexandria via LeMat-Bulk).

Output
final energy	-6.62	eV/atom
crystal system	tetragonal
raw formation energy	0.47	eV per atom

CIF file:
```
data_Tc2NiCl
_chemical_formula_sum 'Tc2 Ni1 Cl1'
_symmetry_space_group_name_H-M 'P 4/m m m'
_symmetry_Int_Tables_number 123
_symmetry_space_group_name_Hall '-P 4 2'
_cell_length_a 2.9993
_cell_length_b 2.9993
_cell_length_c 6.3722
_cell_angle_alpha 90.00
_cell_angle_beta 90.00
_cell_angle_gamma 90.00
loop_
_atom_site_label
_atom_site_type_symbol
_atom_site_fract_x
_atom_site_fract_y
_atom_site_fract_z
Tc1 Tc 0.0000 0.0000 0.2067
Ni1 Ni 0.5000 0.5000 0.0000
Cl1 Cl 0.5000 0.5000 0.5000
```

> The highest final energy belongs to which entry?

RbAl2Pb2